! Sn3PbSe | Alexandria via LeMat-Bulk | PBE-GGA | optimized geometry; values from VASP
&SYSTEM
  ibrav = 0, nat = 5, ntyp = 3
/
ATOMIC_SPECIES
Sn 118.71 Sn.upf
Pb 207.20 Pb.upf
Se 78.96 Se.upf
ATOMIC_POSITIONS crystal
Sn 0.000 0.000 0.500
Sn 0.000 0.500 0.000
Sn 0.500 0.000 0.000
Pb 0.000 0.000 0.000
Se 0.500 0.500 0.500
CELL_PARAMETERS angstrom
5.816 0.000 0.000
0.000 5.816 0.000
0.000 0.000 5.816
! **ΔE_f (raw)**: 17.74 kcal/mol of atoms
! **Energy above the lowest structure with this stoichiometry**: 0.501 eV per atom